VInAs2F GGA+U optimized geometry; DFT total energy = -4.575 eV per atom; total magnetic moment = 0.000 Bohr magnetons per cell; crystal system = tetragonal; calculated volume = 19.168 Å³ per atom; Fermi-level density of states = 0.801 states/eV/atom; space group = P4/mmm, No. 123
1.0
-2.298 -3.411 -2.761
3.305 -0.617 -1.988
1.301 -3.506 3.249
In V As F
1 1 2 1
direct
0.500 0.500 0.500
0.000 0.000 0.000
0.000 0.000 0.500
0.500 0.000 0.000
0.000 0.500 0.000